Record 1
# ZrAl3Te | Alexandria | GGA-PBE | relaxed
data_ZrAl3Te
_cell_length_a 5.1503
_cell_length_b 5.1503
_cell_length_c 5.1503
_cell_angle_alpha 90.00
_cell_angle_beta 90.00
_cell_angle_gamma 90.00
_symmetry_space_group_name_H-M 'P 1'
_symmetry_Int_Tables_number 1
loop_
_symmetry_equiv_pos_as_xyz
'x,y,z'
loop_
_atom_site_label
_atom_site_fract_x
_atom_site_fract_y
_atom_site_fract_z
_atom_site_occupancy
Zr1 0.0000 0.0000 0.0000 1
Al1 0.0000 0.5000 0.5000 1
Al2 0.5000 0.0000 0.5000 1
Al3 0.5000 0.5000 0.0000 1
Te1 0.5000 0.5000 0.5000 1
# - formation energy without anion corrections (kJ/mol of atoms) = 104.11
# - SG = No. 221

=====

Record 2
# In3C | Alexandria | GGA-PBE | relaxed
data_In3C
_cell_length_a 4.8520
_cell_length_b 4.8520
_cell_length_c 4.8520
_cell_angle_alpha 90.00
_cell_angle_beta 90.00
_cell_angle_gamma 90.00
_symmetry_space_group_name_H-M 'P 1'
_symmetry_Int_Tables_number 1
loop_
_symmetry_equiv_pos_as_xyz
'x,y,z'
loop_
_atom_site_label
_atom_site_fract_x
_atom_site_fract_y
_atom_site_fract_z
_atom_site_occupancy
In1 0.0000 0.0000 0.5000 1
In2 0.0000 0.5000 0.0000 1
In3 0.5000 0.0000 0.0000 1
C1 0.0000 0.0000 0.0000 1
# - formation energy from the elements (eV per atom) = 1.10
# - SG = No. 221

=====

Record 3
# Te2SIN | Alexandria | GGA-PBE | relaxed
data_Te2SIN
_cell_length_a 5.9692
_cell_length_b 5.9692
_cell_length_c 3.8955
_cell_angle_alpha 90.00
_cell_angle_beta 90.00
_cell_angle_gamma 90.00
_symmetry_space_group_name_H-M 'P 1'
_symmetry_Int_Tables_number 1
loop_
_symmetry_equiv_pos_as_xyz
'x,y,z'
loop_
_atom_site_label
_atom_site_fract_x
_atom_site_fract_y
_atom_site_fract_z
_atom_site_occupancy
Te1 0.0000 0.5000 0.0000 1
Te2 0.5000 0.0000 0.0000 1
S1 0.0000 0.0000 0.5000 1
I1 0.5000 0.5000 0.0000 1
N1 0.5000 0.5000 0.5000 1
# - formation energy without anion corrections (kJ/mol of atoms) = 148.77
# - SG = No. 123

=====

Record 4
# DyTh3Sc4 | Alexandria | GGA-PBE | relaxed
data_DyTh3Sc4
_cell_length_a 4.9004
_cell_length_b 9.8318
_cell_length_c 9.4380
_cell_angle_alpha 90.00
_cell_angle_beta 90.00
_cell_angle_gamma 90.00
_symmetry_space_group_name_H-M 'P 1'
_symmetry_Int_Tables_number 1
loop_
_symmetry_equiv_pos_as_xyz
'x,y,z'
loop_
_atom_site_label
_atom_site_fract_x
_atom_site_fract_y
_atom_site_fract_z
_atom_site_occupancy
Dy1 0.2500 0.2500 0.1345 1
Dy2 0.7500 0.7500 0.8655 1
Th1 0.2500 0.0010 0.8660 1
Th2 0.2500 0.4990 0.8660 1
Th3 0.2500 0.7500 0.1348 1
Th4 0.7500 0.2500 0.8652 1
Th5 0.7500 0.5010 0.1340 1
Th6 0.7500 0.9990 0.1340 1
Sc1 0.2500 0.2500 0.6160 1
Sc2 0.2500 0.5013 0.3853 1
Sc3 0.2500 0.7500 0.6170 1
Sc4 0.2500 0.9987 0.3853 1
Sc5 0.7500 0.0013 0.6147 1
Sc6 0.7500 0.2500 0.3830 1
Sc7 0.7500 0.4987 0.6147 1
Sc8 0.7500 0.7500 0.3840 1
# - formation energy from the elements (eV per atom) = 0.06
# - SG = No. 59

=====

Number 1: DOS(E_F) 5.4 states/eV per cell. Number 2: DOS(E_F) 2.4 states/eV per cell. Number 3: DOS(E_F) 4.6 states/eV per cell. Number 4: DOS(E_F) 31.9 states/eV per cell.